1.
This record from Alexandria via LeMat-Bulk describes crystalline LiCoIr2 at its relaxed geometry. The functional is PBE.

Lattice parameters (Å, degrees): 7.2379 7.2379 5.6177 49.89 49.89 90.00
Element x y z (fractional)
Ir  0.6893  0.1250  0.2500
Ir  0.0607  0.6250  0.2500
Ir  0.3750  0.3107  0.7500
Ir  0.8750  0.9393  0.7500
Co  0.0000  0.0000  0.0000
Co  0.7500  0.2500  0.5000
Li  0.5000  0.5000  0.0000
Li  0.2500  0.7500  0.5000

Results
Total moment = 0.00 μB/f.u.
E above lowest polymorph = 481 meV per atom
Formation energy from the elements = 0.4476 eV/atom

2.
This record from Alexandria via LeMat-Bulk describes crystalline MgNpCdO6 at its relaxed geometry. The functional is PBE.

Lattice parameters (Å, degrees): 5.4633 5.4633 9.1658 90.00 90.00 120.00
Element x y z (fractional)
Mg  0.0000  0.0000  0.0000
Mg  0.0000  0.0000  0.5000
Np  0.6667  0.3333  0.2500
Np  0.3333  0.6667  0.7500
Cd  0.3333  0.6667  0.2500
Cd  0.6667  0.3333  0.7500
O  0.6903  0.6476  0.1250
O  0.9573  0.3097  0.1250
O  0.3097  0.9573  0.6250
O  0.0427  0.6903  0.8750
O  0.3524  0.3097  0.3750
O  0.9573  0.6476  0.3750
O  0.6476  0.9573  0.8750
O  0.6903  0.0427  0.3750
O  0.0427  0.3524  0.6250
O  0.3524  0.0427  0.1250
O  0.6476  0.6903  0.6250
O  0.3097  0.3524  0.8750

Results
Raw formation energy = -1923 meV/atom
Total moment = 0.00 μB/f.u.

3.
This record from Alexandria via LeMat-Bulk describes crystalline BeAlOs2 at its relaxed geometry. The functional is PBE.

Lattice parameters (Å, degrees): 2.8915 4.5931 3.9819 90.00 90.00 90.00
Element x y z (fractional)
Be  0.0000  0.5000  0.5000
Os  0.0000  0.0000  0.0000
Os  0.5000  0.5000  0.0000
Al  0.5000  0.0000  0.5000

Results
Total moment = 0.00 μB/f.u.
Formation energy from the elements = 0.0209 eV/atom

4.
This record from Alexandria via LeMat-Bulk describes crystalline PuGe2Se4 at its relaxed geometry. The functional is PBE.

Lattice parameters (Å, degrees): 6.3768 6.3768 6.3768 105.64 105.64 117.43
Last column: magnetic moment on the atom in μB.
Element x y z (fractional)
Pu  0.5000  0.5000  0.0000  5.44
Ge  0.2500  0.7500  0.5000  0.01
Ge  0.7500  0.2500  0.5000  0.01
Se  0.3032  0.1725  0.4757  -0.04
Se  0.8275  0.3032  0.1307  -0.04
Se  0.1725  0.6968  0.8693  -0.04
Se  0.6968  0.8275  0.5243  -0.04

Results
Raw formation energy = -386 meV/atom
Total moment = 5.41 μB/f.u.

The records above yield density values of 12.33; 6.58; 13.08; 5.95 Mg/m³, respectively.